1.
Nb2Pt4Rh3: relaxed, GGA-PBE.

- E (eV/cell) = -71.03
- formation energy from the elements (eV/atom) = -0.520

Unit cell a=3.9499 b=4.8858 c=8.3832 alpha=72.32 beta=89.99 gamma=66.16
Element x y z (fractional)
Nb 0.3313 0.3369 0.7728
Nb 0.6687 0.6631 0.2272
Pt 0.6673 0.6654 0.8915
Pt 0.9982 0.0036 0.3311
Pt 0.0018 0.9964 0.6689
Pt 0.3327 0.3346 0.1085
Rh 0.3319 0.3360 0.4492
Rh 0.0000 0.0000 0.0000
Rh 0.6681 0.6640 0.5508

---

2.
Nb4Pt2Rh: relaxed, GGA-PBE.

- E (eV/cell) = -61.37
- formation energy from the elements (eV/atom) = -0.237

Unit cell a=5.6629 b=5.6629 c=5.6272 alpha=120.17 beta=120.17 gamma=90.14
Element x y z (fractional)
Nb 0.7860 0.7860 0.0718
Nb 0.2856 0.2856 0.0712
Nb 0.7856 0.2858 0.0713
Nb 0.2858 0.7856 0.0713
Pt 0.2858 0.7856 0.5714
Pt 0.7856 0.2858 0.5714
Rh 0.7857 0.7857 0.5714

---

3.
Nb2PtRh: relaxed, GGA-PBE.

- E (eV/cell) = -35.79
- formation energy from the elements (eV/atom) = -0.563

Unit cell a=4.0233 b=4.0233 c=4.9203 alpha=114.13 beta=114.13 gamma=90.01
Element x y z (fractional)
Nb 0.2500 0.7500 0.5000
Nb 0.7500 0.2500 0.5000
Pt 0.0000 0.0000 0.0000
Rh 0.5000 0.5000 0.0000

---

4.
Nb3PtRh: relaxed, GGA-PBE.

- E (eV/cell) = -37.59
- formation energy from the elements (eV/atom) = 1.202

Unit cell a=4.8377 b=4.8377 c=4.8377 alpha=90.00 beta=90.00 gamma=90.00
Element x y z (fractional)
Nb 0.0000 0.5000 0.0000
Nb 0.0000 0.0000 0.5000
Nb 0.5000 0.0000 0.0000
Rh 0.5000 0.5000 0.5000
Pt 0.0000 0.0000 0.0000

---

5.
Nb3Pt2Rh: relaxed, GGA-PBE.

- E (eV/cell) = -50.34
- formation energy from the elements (eV/atom) = -0.117

Unit cell a=2.7835 b=4.9716 c=8.1921 alpha=107.66 beta=99.78 gamma=90.00
Element x y z (fractional)
Nb 0.0000 0.5000 0.0000
Nb 0.8289 0.8289 0.6577
Nb 0.1711 0.1711 0.3423
Pt 0.6584 0.6584 0.3167
Pt 0.3416 0.3416 0.6833
Rh 0.0000 0.0000 0.0000

---

6.
Nb9Pt11Rh4: relaxed, GGA-PBE.

- E (eV/cell) = -198.53
- formation energy from the elements (eV/atom) = -0.502

Unit cell a=2.8369 b=12.3745 c=12.3745 alpha=115.01 beta=90.00 gamma=90.00
Element x y z (fractional)
Nb 0.5000 0.5995 0.1755
Nb 0.5000 0.4005 0.8245
Nb 0.5000 0.1755 0.5995
Nb 0.5000 0.8245 0.4005
Nb 0.5000 0.7891 0.9783
Nb 0.5000 0.2109 0.0217
Nb 0.5000 0.9783 0.7891
Nb 0.5000 0.0217 0.2109
Nb 0.5000 0.5000 0.5000
Pt 0.0000 0.5996 0.9760
Pt 0.0000 0.4004 0.0240
Pt 0.0000 0.9760 0.5996
Pt 0.0000 0.0240 0.4004
Pt 0.0000 0.6185 0.3815
Pt 0.0000 0.3815 0.6185
Pt 0.0000 0.8119 0.1881
Pt 0.0000 0.1881 0.8119
Pt 0.0000 0.0000 0.0000
Pt 0.0000 0.7887 0.7887
Pt 0.0000 0.2112 0.2112
Rh 0.5000 0.5833 0.7580
Rh 0.5000 0.4167 0.2420
Rh 0.5000 0.7580 0.5833
Rh 0.5000 0.2420 0.4167